No. 1
This record from Alexandria via LeMat-Bulk describes a geometry-optimized GeO structure. The functional is PBE.

a b c (Å): 6.2782 5.6789 5.3961
angles (deg): 69.01 57.62 53.37
Last column: nearest neighbours and their distance in Å.
Sites, in units of the cell vectors:
Ge 0.0980 0.6520 0.6520  2 O 1.96
Ge 0.3480 0.9020 0.9020  2 O 1.96
Ge 0.6520 0.0980 0.0980  2 O 1.96
Ge 0.9020 0.3480 0.3480  2 O 1.96
O 0.0255 0.7245 0.0255  2 Ge 1.96
O 0.2755 0.9745 0.2755  2 Ge 1.96
O 0.7245 0.0255 0.7245  2 Ge 1.96
O 0.9745 0.2755 0.9745  2 Ge 1.96

Output
formation energy from raw total energies = -1.92 eV/f.u.



No. 2
This record from Alexandria via LeMat-Bulk describes a geometry-optimized Mg5AlAu3 structure. The functional is PBE.

a b c (Å): 8.1577 8.1577 5.7929
angles (deg): 90.00 90.00 120.00
Last column: nearest neighbours and their distance in Å.
Sites, in units of the cell vectors:
Mg 0.0000 0.3323 0.2500  5 Au 2.70-2.90
Mg 0.0000 0.6677 0.7500  5 Au 2.70-2.90
Mg 0.3323 0.0000 0.2500  5 Au 2.70-2.90
Mg 0.3323 0.3323 0.7500  5 Au 2.70-2.90
Mg 0.3333 0.6667 0.0000  8 Mg 2.90-3.08, 6 Au 3.09
Mg 0.3333 0.6667 0.5000  8 Mg 2.90-3.08, 6 Au 3.09
Mg 0.6667 0.3333 0.0000  8 Mg 2.90-3.08, 6 Au 3.09
Mg 0.6667 0.3333 0.5000  8 Mg 2.90-3.08, 6 Au 3.09
Mg 0.6677 0.0000 0.7500  5 Au 2.70-2.90
Mg 0.6677 0.6677 0.2500  5 Au 2.70-2.90
Al 0.0000 0.0000 0.0000  2 Al 2.90, 6 Au 3.06, 6 Mg 3.07
Al 0.0000 0.0000 0.5000  2 Al 2.90, 6 Au 3.06, 6 Mg 3.07
Au 0.0000 0.3298 0.7500  5 Mg 2.70-2.90
Au 0.0000 0.6702 0.2500  5 Mg 2.70-2.90
Au 0.3298 0.0000 0.7500  5 Mg 2.70-2.90
Au 0.3298 0.3298 0.2500  5 Mg 2.70-2.90
Au 0.6702 0.0000 0.2500  5 Mg 2.70-2.90
Au 0.6702 0.6702 0.7500  5 Mg 2.70-2.90

Output
formation energy = -0.4352 eV/atom



No. 3
This record from Alexandria via LeMat-Bulk describes a geometry-optimized Cs2KTl structure. The functional is PBE.

a b c (Å): 4.7782 4.7782 11.7568
angles (deg): 90.00 90.00 90.00
Last column: nearest neighbours and their distance in Å.
Sites, in units of the cell vectors:
Cs 0.0000 0.0000 0.1925  4 Tl 4.07, 1 Cs 4.53
Cs 0.0000 0.0000 0.8075  4 Tl 4.07, 1 Cs 4.53
K 0.5000 0.5000 0.5000  4 K 4.78, 8 Cs 4.95
Tl 0.5000 0.5000 0.0000  8 Cs 4.07

Output
formation energy = 0.0312 eV/atom
polymorph energy (0 for the lowest one) = 0.31 eV per formula unit



No. 4
This record from Alexandria via LeMat-Bulk describes a geometry-optimized LiTa2S6 structure. The functional is PBE.

a b c (Å): 6.6885 6.6885 8.9709
angles (deg): 129.58 129.58 40.87
Last column: nearest neighbours and their distance in Å.
Sites, in units of the cell vectors:
Li 0.0000 0.0000 0.0000  4 S 2.57
Ta 0.4236 0.4236 0.5867  5 S 2.33-2.52
Ta 0.5764 0.5764 0.4133  5 S 2.33-2.52
S 0.1581 0.1581 0.4514  3 Ta 2.48-2.66
S 0.3316 0.3316 0.2486  2 Ta 2.33-2.40
S 0.4364 0.4364 0.0389  1 S 2.13
S 0.5636 0.5636 0.9611  1 S 2.13
S 0.6684 0.6684 0.7514  2 Ta 2.33-2.40
S 0.8419 0.8419 0.5486  3 Ta 2.48-2.66

Output
formation energy from raw total energies = -6.89 eV/f.u.



No. 5
This record from Alexandria via LeMat-Bulk describes a geometry-optimized KPmPuCl6 structure. The functional is PBE.

a b c (Å): 7.2420 7.2420 13.7331
angles (deg): 90.00 90.00 120.00
Last column: nearest neighbours and their distance in Å.
Sites, in units of the cell vectors:
K 0.0000 0.0000 0.0000  6 Cl 3.22
K 0.0000 0.0000 0.5000  6 Cl 3.22
Pm 0.3333 0.6667 0.2500  6 Cl 2.75
Pm 0.6667 0.3333 0.7500  6 Cl 2.75
Pu 0.3333 0.6667 0.7500  6 Cl 2.83
Pu 0.6667 0.3333 0.2500  6 Cl 2.83
Cl 0.0084 0.3664 0.1365  1 Pm 2.75, 1 Pu 2.83
Cl 0.0084 0.6421 0.3635  1 Pm 2.75, 1 Pu 2.83
Cl 0.3579 0.3664 0.3635  1 Pm 2.75, 1 Pu 2.83
Cl 0.3579 0.9916 0.1365  1 Pm 2.75, 1 Pu 2.83
Cl 0.3664 0.0084 0.6365  1 Pm 2.75, 1 Pu 2.83
Cl 0.3664 0.3579 0.8635  1 Pm 2.75, 1 Pu 2.83
Cl 0.6336 0.6421 0.1365  1 Pm 2.75, 1 Pu 2.83
Cl 0.6336 0.9916 0.3635  1 Pm 2.75, 1 Pu 2.83
Cl 0.6421 0.0084 0.8635  1 Pm 2.75, 1 Pu 2.83
Cl 0.6421 0.6336 0.6365  1 Pm 2.75, 1 Pu 2.83
Cl 0.9916 0.3579 0.6365  1 Pm 2.75, 1 Pu 2.83
Cl 0.9916 0.6336 0.8635  1 Pm 2.75, 1 Pu 2.83

Output
formation energy from raw total energies = -18.48 eV/f.u.



No. 6
This record from Alexandria via LeMat-Bulk describes a geometry-optimized RbS2BrCl structure. The functional is PBE.

a b c (Å): 6.7526 6.7526 6.1201
angles (deg): 90.00 90.00 90.00
Last column: nearest neighbours and their distance in Å.
Sites, in units of the cell vectors:
Rb 0.0000 0.0000 0.0000  2 Cl 3.06, 4 S 3.38
S 0.0000 0.5000 0.0000  2 Rb 3.38
S 0.5000 0.0000 0.0000  2 Rb 3.38
Br 0.5000 0.5000 0.5000  8 S 4.56, 4 Cl 4.77
Cl 0.0000 0.0000 0.5000  2 Rb 3.06

Output
polymorph energy (0 for the lowest one) = 3.55 eV per formula unit
formation energy from raw total energies = 3.54 eV/f.u.



No. 7
This record from Alexandria via LeMat-Bulk describes a geometry-optimized LiCaRh2C structure. The functional is PBE.

a b c (Å): 4.0464 4.0464 4.7952
angles (deg): 90.00 90.00 90.00
Last column: nearest neighbours and their distance in Å.
Sites, in units of the cell vectors:
Li 0.0000 0.0000 0.0000  4 Ca 2.86, 8 Rh 3.14
Ca 0.5000 0.5000 0.0000  2 C 2.40
Rh 0.0000 0.5000 0.5000  2 C 2.02
Rh 0.5000 0.0000 0.5000  2 C 2.02
C 0.5000 0.5000 0.5000  4 Rh 2.02

Output
formation energy = -0.1365 eV/atom
polymorph energy (0 for the lowest one) = 0.72 eV per formula unit



No. 8
This record from Alexandria via LeMat-Bulk describes a geometry-optimized ZrMoP2 structure. The functional is PBE.

a b c (Å): 7.8507 7.8507 7.8507
angles (deg): 23.58 23.58 23.58
Last column: nearest neighbours and their distance in Å.
Sites, in units of the cell vectors:
Zr 0.0000 0.0000 0.0000  3 P 2.72, 3 Mo 2.85
Mo 0.7615 0.7615 0.7615  3 P 2.46
P 0.2461 0.2461 0.2461  3 P 2.61, 3 Zr 2.72
P 0.4990 0.4990 0.4990  3 Mo 2.46, 3 P 2.61

Output
formation energy = -0.0800 eV/atom
polymorph energy (0 for the lowest one) = 3.39 eV per formula unit



No. 9
This record from Alexandria via LeMat-Bulk describes a geometry-optimized La8Tl2Ni structure. The functional is PBE.

a b c (Å): 9.8586 9.8586 6.9315
angles (deg): 109.08 109.08 33.16
Last column: nearest neighbours and their distance in Å.
Sites, in units of the cell vectors:
La 0.0039 0.0039 0.2826  3 La 3.07-3.33, 2 Ni 3.20
La 0.2123 0.2123 0.7506  4 La 3.33-3.70, 4 Tl 3.38-3.69
La 0.3531 0.3531 0.5652  1 Ni 2.96
La 0.4112 0.4112 0.0961  1 Ni 2.73
La 0.5888 0.5888 0.9039  1 Ni 2.73
La 0.6469 0.6469 0.4348  1 Ni 2.96
La 0.7877 0.7877 0.2494  4 La 3.33-3.70, 4 Tl 3.38-3.69
La 0.9961 0.9961 0.7174  3 La 3.07-3.33, 2 Ni 3.20
Tl 0.1734 0.1734 0.1917  10 La 3.38-3.69
Tl 0.8266 0.8266 0.8083  10 La 3.38-3.69
Ni 0.5000 0.5000 0.5000  4 La 2.73-2.96

Output
formation energy = -0.2147 eV/atom



No. 10
This record from Alexandria via LeMat-Bulk describes a geometry-optimized Rb2PdPbI6 structure. The functional is PBE.

a b c (Å): 8.4480 8.4480 8.4480
angles (deg): 120.08 120.08 89.86
Last column: nearest neighbours and their distance in Å.
Sites, in units of the cell vectors:
Rb 0.2500 0.7500 0.5000  12 I 4.22-4.23
Rb 0.7500 0.2500 0.5000  12 I 4.22-4.23
Pd 0.0000 0.0000 0.0000  6 I 2.82-2.83
Pb 0.5000 0.5000 0.0000  6 I 3.15
I 0.2363 0.2363 0.4727  1 Pd 2.82, 1 Pb 3.15
I 0.2363 0.7637 0.0000  1 Pd 2.82, 1 Pb 3.15
I 0.2368 0.2368 0.0000  1 Pd 2.83, 1 Pb 3.15
I 0.7632 0.7632 0.0000  1 Pd 2.83, 1 Pb 3.15
I 0.7637 0.2363 0.0000  1 Pd 2.82, 1 Pb 3.15
I 0.7637 0.7637 0.5273  1 Pd 2.82, 1 Pb 3.15

Output
formation energy from raw total energies = -7.75 eV/f.u.



No. 11
This record from Alexandria via LeMat-Bulk describes a geometry-optimized Pm4Dy2Er structure. The functional is PBE.

a b c (Å): 6.2140 6.6316 11.5913
angles (deg): 90.00 104.52 90.00
Last column: nearest neighbours and their distance in Å.
Sites, in units of the cell vectors:
Pm 0.0418 0.2500 0.3648  3 Er 3.36-3.51, 2 Pm 3.37, 3 Dy 3.39-3.47
Pm 0.1509 0.2500 0.9505  1 Er 3.32, 4 Dy 3.41-3.46, 4 Pm 3.47-3.60
Pm 0.3517 0.5103 0.2148  4 Pm 3.18-3.47, 1 Er 3.46, 1 Dy 3.51
Pm 0.3517 0.9897 0.2148  4 Pm 3.18-3.47, 1 Er 3.46, 1 Dy 3.51
Pm 0.6483 0.0103 0.7852  4 Pm 3.18-3.47, 1 Er 3.46, 1 Dy 3.51
Pm 0.6483 0.4897 0.7852  4 Pm 3.18-3.47, 1 Er 3.46, 1 Dy 3.51
Pm 0.8491 0.7500 0.0495  1 Er 3.32, 4 Dy 3.41-3.46, 4 Pm 3.47-3.60
Pm 0.9582 0.7500 0.6352  3 Er 3.36-3.51, 2 Pm 3.37, 3 Dy 3.39-3.47
Dy 0.2875 0.7500 0.9222  9 Pm 3.41-3.68
Dy 0.3910 0.7500 0.5061  6 Pm 3.39-3.68, 1 Er 3.44, 2 Dy 3.60
Dy 0.6090 0.2500 0.4939  6 Pm 3.39-3.68, 1 Er 3.44, 2 Dy 3.60
Dy 0.7125 0.2500 0.0778  9 Pm 3.41-3.68
Er 0.1491 0.2500 0.6636  6 Pm 3.32-3.51, 1 Dy 3.44
Er 0.8509 0.7500 0.3364  6 Pm 3.32-3.51, 1 Dy 3.44

Output
formation energy = 0.1259 eV/atom
polymorph energy (0 for the lowest one) = 0.49 eV per formula unit



No. 12
This record from Alexandria via LeMat-Bulk describes a geometry-optimized Ac2AsRh2 structure. The functional is PBE.

a b c (Å): 6.1099 6.1099 11.2839
angles (deg): 113.68 113.68 41.85
Last column: nearest neighbours and their distance in Å.
Sites, in units of the cell vectors:
Ac 0.0940 0.0940 0.3993  6 Rh 3.11-3.30, 2 As 3.25
Ac 0.3016 0.3016 0.8561  7 Rh 3.25-3.39, 4 As 3.27-3.31
Ac 0.6984 0.6984 0.1439  7 Rh 3.25-3.39, 4 As 3.27-3.31
Ac 0.9060 0.9060 0.6007  6 Rh 3.11-3.30, 2 As 3.25
As 0.4245 0.4245 0.1780  3 Rh 2.47-2.60
As 0.5755 0.5755 0.8220  3 Rh 2.47-2.60
Rh 0.0413 0.0413 0.9057  2 As 2.47, 1 Rh 2.67
Rh 0.3765 0.3765 0.3835  1 As 2.60, 1 Rh 2.91
Rh 0.6235 0.6235 0.6165  1 As 2.60, 1 Rh 2.91
Rh 0.9587 0.9587 0.0943  2 As 2.47, 1 Rh 2.67

Output
formation energy = -0.8125 eV/atom



Q: Which formula does entry 10 have?
A: Rb2PdPbI6